Density functional theory data (PBE) for an optimized crystal structure of Th2ReBr2.

abc: 12.6892 12.6892 5.9499
angles: 95.00 95.00 19.26
Fractional positions:
Th 0.1474 0.1474 0.3127
Th 0.2930 0.2930 0.1833
Th 0.7070 0.7070 0.8167
Th 0.8526 0.8526 0.6873
Re 0.2736 0.2736 0.6820
Re 0.7264 0.7264 0.3180
Br 0.1084 0.1084 0.7986
Br 0.4400 0.4400 0.7247
Br 0.5600 0.5600 0.2753
Br 0.8916 0.8916 0.2014

Properties
- symmetry = No. 12
- magnetic moment (μB/f.u.) = 0.0
- V (A^3/atom) = 31.48
- raw total energy (eV/atom) = -6.99
- formation energy from raw total energies (eV/atom) = -0.8638